First-principles (GGA-PBE) data for a relaxed Ac3Ag2Pb2 crystal, as listed in the Alexandria database.

The structure belongs to space group C2/m (No. 12); the cell edges are 12.353, 4.813 and 8.364 Å and the angles 90.00°, 110.05° and 90.00°. The distinct sites, in fractional coordinates, are Ac at (0.000, 0.000, 0.000), Ac at (0.167, 0.000, 0.646), Ag at (0.186, 0.500, 0.944) and Pb at (0.052, 0.500, 0.329).

The energy comes out at -4.0665 eV/atom. The density of states at the Fermi level comes out at 10.30 states/eV/cell. The value obtained for the volume is 33.37 Å³/atom. The formation energy comes out at -0.432 eV/atom.